(1)
Crystalline TaTlAu2 at its relaxed geometry, computed with PBE.

Structure (extended XYZ):
```
8
Lattice="-6.7055 0.2026 3.6339 2.0697 -6.0538 4.1567 -1.1460 -1.1096 5.9566" Properties=species:S:1:pos:R:3 pbc="T T T"
Au -2.5496 -3.1676 7.4859
Au -4.9641 -5.8107 11.1872
Au 0.0124 -4.0310 4.6261
Au -4.0623 -0.9122 4.1951
Ta -2.3179 -2.9256 3.8953
Ta -0.6971 -5.0445 7.0043
Tl -5.0847 -1.9163 6.7429
Tl 0.0000 0.0000 0.0000
```

Values from the calculation:
Size of the total moment (μB/cell): 0.000



(2)
Crystalline TaTl2Au at its relaxed geometry, computed with PBE.

Structure (extended XYZ):
```
4
Lattice="6.0049 0.0089 0.0271 2.7006 5.3633 -0.0271 -3.5124 -4.0478 2.7087" Properties=species:S:1:pos:R:3 pbc="T T T"
Tl 8.6796 5.3563 0.0000
Tl 4.3786 2.7021 0.0000
Ta 1.7705 2.0008 1.3408
Au 3.4226 -0.6764 1.3679
```

Values from the calculation:
Size of the total moment (μB/cell): 0.000
Energy relative to the lowest polymorph listed for this composition (meV/atom): 266



(3)
Crystalline TaTlAu2 at its relaxed geometry, computed with PBE.

Structure (extended XYZ):
```
4
Lattice="-7.6676 4.7959 3.3930 -8.4777 1.9128 4.2159 -6.6169 3.5874 6.0541" Properties=species:S:1:pos:R:3 pbc="T T T"
Tl -17.0816 7.7265 10.2532
Au -22.6767 10.2573 13.6116
Au -5.6488 2.5551 3.3907
Ta -11.4985 5.2011 6.9019
```

Values from the calculation:
Size of the total moment (μB/cell): 0.000



(4)
Crystalline TaTl2Au at its relaxed geometry, computed with PBE.

Structure (extended XYZ):
```
4
Lattice="5.0142 0.0000 0.0000 2.5071 4.3425 0.0000 2.5071 1.4475 4.0941" Properties=species:S:1:pos:R:3 pbc="T T T"
Tl 0.0000 0.0000 0.0000
Tl 2.5071 1.4475 1.0235
Au 5.0142 2.8950 2.0471
Ta 7.5214 4.3425 3.0706
```

Values from the calculation:
Size of the total moment (μB/cell): 1.873
Energy relative to the lowest polymorph listed for this composition (meV/atom): 471



(5)
Crystalline TaTlAu2 at its relaxed geometry, computed with PBE.

Structure (extended XYZ):
```
4
Lattice="5.2053 0.0220 0.0000 1.6653 4.9317 0.0000 -3.4353 -2.4769 3.0264" Properties=species:S:1:pos:R:3 pbc="T T T"
Tl 2.6026 0.0110 1.5132
Au 0.0000 0.0000 0.0000
Au 3.4353 2.4769 0.0000
Ta 0.8326 2.4659 1.5132
```

Values from the calculation:
Size of the total moment (μB/cell): 0.000



(6)
Crystalline TaTlAu2 at its relaxed geometry, computed with PBE.

Structure (extended XYZ):
```
4
Lattice="4.9150 -0.0303 0.0058 3.9788 2.8856 0.0058 0.6633 0.2129 5.5847" Properties=species:S:1:pos:R:3 pbc="T T T"
Tl 2.3893 0.7671 1.3991
Ta 7.1678 2.3012 4.1973
Au 4.7155 1.5139 2.9685
Au 0.7263 0.2332 5.4144
```

Values from the calculation:
Size of the total moment (μB/cell): 0.000



Table of DFT total energy (eV for the cell shown), in record order: -37.95 -17.67 -19.77 -16.85 -19.39 -19.80
Table of formation energy from the elements (eV/atom), in record order: 0.45 0.55 0.25 0.75 0.35 0.24